A plane-wave DFT calculation with PBE was carried out for a relaxed structure of KBa2MnCl8.

For the uncorrected formation energy, the calculation gives -181.8 kJ/mol of atoms. Its crystal system is triclinic. The density comes out at 3.006 g/cm³. The value obtained for the total energy is -51.493 eV per formula unit. The value obtained for the total magnetic moment is 4.0 μB/cell.

abc: 7.066 6.001 8.905
angles: 73.23 88.83 85.38
Each line ends with the local moment (μB).
Fractional coordinates of all 12 atoms:
K 0.000 0.000 0.500  0.00
Ba 0.471 0.327 0.786  0.00
Ba 0.529 0.673 0.214  0.00
Mn 0.000 0.000 0.000  3.67
Cl 0.994 0.689 0.220  0.00
Cl 0.777 0.855 0.879  -0.01
Cl 0.701 0.213 0.119  0.04
Cl 0.006 0.311 0.780  0.00
Cl 0.223 0.145 0.121  -0.01
Cl 0.299 0.787 0.881  0.04
Cl 0.648 0.710 0.531  0.00
Cl 0.352 0.290 0.469  0.00